Run 1
Compound: KSc2Mn
Source: Alexandria
Functional: GGA-PBE
Structure: optimized geometry

Output
The value obtained for the density of states at the Fermi level is 12.653 states/eV/cell. The value obtained for the total magnetic moment is 2.4 μB/cell. The crystal system is orthorhombic.

CIF file:
```
data_KSc2Mn
_chemical_formula_sum 'K2 Sc4 Mn2'
_cell_length_a 3.2771
_cell_length_b 6.0969
_cell_length_c 10.5758
_cell_angle_alpha 90.00
_cell_angle_beta 90.00
_cell_angle_gamma 90.00
_space_group_name_H-M_alt 'I m m m'
_space_group_IT_number 71
_space_group_name_Hall '-I 2 2'
loop_
_atom_site_label
_atom_site_fract_x
_atom_site_fract_y
_atom_site_fract_z
K1 0.0000 0.0000 0.0000
Sc1 0.0000 0.5000 0.1896
Mn1 0.0000 0.0000 0.5000
```

Run 2
Compound: KSc2Mn
Source: Alexandria
Functional: GGA-PBE
Structure: optimized geometry

Output
The value obtained for the density of states at the Fermi level is 10.401 states/eV/cell. The value obtained for the total magnetic moment is 1.1 μB/cell. The crystal system is trigonal.

CIF file:
```
data_KSc2Mn
_chemical_formula_sum 'K3 Sc6 Mn3'
_cell_length_a 3.3802
_cell_length_b 3.3802
_cell_length_c 31.5312
_cell_angle_alpha 90.00
_cell_angle_beta 90.00
_cell_angle_gamma 120.00
_space_group_name_H-M_alt 'R -3 m'
_space_group_IT_number 166
_space_group_name_Hall '-R 3 2"'
loop_
_atom_site_label
_atom_site_fract_x
_atom_site_fract_y
_atom_site_fract_z
K1 0.0000 0.0000 0.0000
Sc1 0.0000 0.0000 0.2207
Mn1 0.0000 0.0000 0.5000
```

Preferred: run 2; penalty for the next structure: 186 meV per atom.